CdSbBr2 (GGA-PBEsol, optimized geometry); energy relative to the elements, uncorrected = -0.123 eV/atom; spin magnetization = 0.0 μB per formula unit; symmetry = Cmmm (65); calculated volume = 103.4 Å³/f.u.; density = 6.33 Mg/m³; ΔE to the lowest computed polymorph = 86 meV/atom
1.0
-2.938 0.564 -1.878
-0.316 -0.481 3.485
0.907 9.253 1.358
Sb Br Cd
1 2 1
direct
0.500 0.500 0.000 Sb
0.000 0.000 0.248 Br
0.000 0.000 0.752 Br
0.500 0.500 0.500 Cd